[1]
This record from Alexandria via LeMat-Bulk describes a geometry-optimized Ca3Sm2 structure. The functional is PBE-GGA.

Unit cell a=15.773 b=15.773 c=15.773 alpha=13.66 beta=13.66 gamma=13.66
Sites, in units of the cell vectors:
Ca 0.000 0.000 0.000
Ca 0.403 0.403 0.403
Ca 0.597 0.597 0.597
Sm 0.197 0.197 0.197
Sm 0.803 0.803 0.803

Calculated values
Formation energy from the elements   0.036 eV per atom
Mass density   3.67 g/cm3
Total magnetization   0.00 μB per atom

---

[2]
This record from Alexandria via LeMat-Bulk describes a geometry-optimized CaSm8 structure. The functional is PBE-GGA.

Unit cell a=6.323 b=6.324 c=8.930 alpha=89.92 beta=89.92 gamma=60.01
Sites, in units of the cell vectors:
Ca 0.000 0.000 0.000
Sm 0.000 0.338 0.337
Sm 0.000 0.662 0.663
Sm 0.333 0.333 0.000
Sm 0.338 0.000 0.663
Sm 0.339 0.662 0.337
Sm 0.661 0.338 0.663
Sm 0.662 0.000 0.337
Sm 0.667 0.667 0.000

Calculated values
Formation energy from the elements   0.045 eV per atom
Mass density   6.67 g/cm3
Total magnetization   0.00 μB per atom

---

[3]
This record from Alexandria via LeMat-Bulk describes a geometry-optimized CaSm4 structure. The functional is PBE-GGA.

Unit cell a=15.265 b=15.265 c=15.265 alpha=13.77 beta=13.77 gamma=13.77
Sites, in units of the cell vectors:
Ca 0.000 0.000 0.000
Sm 0.200 0.200 0.200
Sm 0.404 0.404 0.404
Sm 0.596 0.596 0.596
Sm 0.800 0.800 0.800

Calculated values
Formation energy from the elements   0.038 eV per atom
Mass density   6.07 g/cm3
Total magnetization   0.00 μB per atom
Relative energy among the computed polymorphs   0.0 meV/atom

---

[4]
This record from Alexandria via LeMat-Bulk describes a geometry-optimized Ca6Sm structure. The functional is PBE-GGA.

Unit cell a=7.683 b=7.683 c=7.683 alpha=109.47 beta=109.47 gamma=109.47
Sites, in units of the cell vectors:
Ca 0.250 0.500 0.750
Ca 0.250 0.750 0.500
Ca 0.500 0.250 0.750
Ca 0.500 0.750 0.250
Ca 0.750 0.250 0.500
Ca 0.750 0.500 0.250
Sm 0.000 0.000 0.000

Calculated values
Formation energy from the elements   1.159 eV per atom
Mass density   1.86 g/cm3
Total magnetization   0.00 μB per atom